Computed, not measured: a geometry-optimized TaCoBiO6 structure at the GGA+U level of DFT.

It has space group P312 (No. 149), with a = 5.1130 Å, b = 5.1130 Å, c = 4.9095 Å, α = 90.00°, β = 90.00° and γ = 120.00°. Symmetry generates all atoms from Ta at (0.0000, 0.0000, 0.0000), Co at (0.3333, 0.6667, 0.0000), Bi at (0.6667, 0.3333, 0.5000) and O at (0.0353, 0.3434, 0.2207).

Its volume is 111 Å³/cell. The electronic total energy is -7.275 eV per atom.

=====

Computed, not measured: a geometry-optimized TaCo2BiO8 structure at the GGA+U level of DFT.

It has space group P-3 (No. 147), with a = 5.7286 Å, b = 5.7286 Å, c = 6.3709 Å, α = 90.00°, β = 90.00° and γ = 120.00°. Symmetry generates all atoms from Ta at (0.0000, 0.0000, 0.0000), Co at (0.3333, 0.6667, 0.2779), Bi at (0.0000, 0.0000, 0.5000), O at (0.1538, 0.3099, 0.1995) and O at (0.3333, 0.6667, 0.5456).

Its volume is 181 Å³/cell. The electronic total energy is -6.697 eV per atom.

=====

Computed, not measured: a geometry-optimized TaCoBiO5 structure at the GGA+U level of DFT.

It has space group C2/c (No. 15), with a = 7.862 Å, b = 8.989 Å, c = 7.723 Å, α = 90.00°, β = 119.17° and γ = 90.00°. Symmetry generates all atoms from Ta at (0.250, 0.250, 0.000), Co at (0.000, 0.060, 0.250), Bi at (0.000, 0.419, 0.250), O at (0.000, 0.278, 0.750), O at (0.104, 0.227, 0.151) and O at (0.245, 0.028, 0.955).

Its volume is 477 Å³/cell. The electronic total energy is -7.545 eV per atom.

=====

Computed, not measured: a geometry-optimized CoBi2TeO8 structure at the GGA+U level of DFT.

It has space group Cmmm (No. 65), with a = 6.862 Å, b = 7.061 Å, c = 6.801 Å, α = 90.00°, β = 90.00° and γ = 90.00°. Symmetry generates all atoms from Co at (0.000, 0.000, 0.000), Bi at (0.000, 0.500, 0.243), Te at (0.000, 0.000, 0.500), O at (0.000, 0.179, 0.276), O at (0.213, 0.500, 0.500) and O at (0.216, 0.500, 0.000).

Its volume is 330 Å³/cell. The electronic total energy is -5.619 eV per atom.

=====

Computed, not measured: a geometry-optimized CoBiTeO6 structure at the GGA+U level of DFT.

It has space group P-31c (No. 163), with a = 5.1188 Å, b = 5.1188 Å, c = 10.1129 Å, α = 90.00°, β = 90.00° and γ = 120.00°. Symmetry generates all atoms from Co at (0.3333, 0.6667, 0.2500), Bi at (0.0000, 0.0000, 0.0000), Te at (0.3333, 0.6667, 0.7500) and O at (0.0043, 0.3744, 0.1429).

Its volume is 229 Å³/cell. The electronic total energy is -5.758 eV per atom.

=====

Computed, not measured: a geometry-optimized CoBiTe2O6 structure at the GGA+U level of DFT.

It has space group C2/c (No. 15), with a = 10.400 Å, b = 10.770 Å, c = 5.982 Å, α = 90.00°, β = 101.71° and γ = 90.00°. Symmetry generates all atoms from Co at (0.000, 0.244, 0.250), Bi at (0.000, 0.077, 0.750), Te at (0.194, 0.381, 0.795), O at (0.103, 0.265, 0.566), O at (0.149, 0.215, 0.091) and O at (0.212, 0.017, 0.383).

Its volume is 656 Å³/cell. The electronic total energy is -5.414 eV per atom.

=====

Computed, not measured: a geometry-optimized Co2BiTeO6 structure at the GGA+U level of DFT.

It has space group P1 (No. 1), with a = 5.492 Å, b = 5.524 Å, c = 5.621 Å, α = 118.47°, β = 90.70° and γ = 119.28°. Symmetry generates all atoms from Co at (0.000, 0.000, 0.000), Co at (0.473, 0.943, 0.425), Bi at (0.202, 0.409, 0.622), Te at (0.689, 0.373, 0.066), O at (0.141, 0.464, 0.243), O at (0.276, 0.095, 0.781), O at (0.325, 0.105, 0.251), O at (0.683, 0.969, 0.784), O at (0.788, 0.942, 0.259) and O at (0.822, 0.513, 0.791).

Its volume is 124 Å³/cell. The electronic total energy is -5.709 eV per atom.

=====

Computed, not measured: a geometry-optimized TiCoBi2O6 structure at the GGA+U level of DFT.

It has space group P2_1/c (No. 14), with a = 5.481 Å, b = 5.767 Å, c = 9.534 Å, α = 90.00°, β = 124.54° and γ = 90.00°. Symmetry generates all atoms from Ti at (0.000, 0.000, 0.000), Co at (0.500, 0.000, 0.500), Bi at (0.263, 0.056, 0.752), O at (0.141, 0.033, 0.244), O at (0.233, 0.709, 0.052) and O at (0.345, 0.186, 0.046).

Its volume is 248 Å³/cell. The electronic total energy is -6.773 eV per atom.